Record 1
{"formula": "Tb2YBi", "functional": "PBE-GGA", "state": "optimized geometry", "relative_energy_ev_per_atom": 0.421, "lattice_angstrom": [[3.5558, 0.0000, 0.0000], [1.7779, 3.0794, 0.0000], [1.7779, 1.0265, 12.0997]], "species": ["Y", "Bi", "Tb", "Tb"], "frac_coords": [[0.5000, 0.5000, 0.5000], [0.0000, 0.0000, 0.0000], [0.0873, 0.0873, 0.7380], [0.9127, 0.9127, 0.2620]]}


Record 2
{"formula": "TbYBi", "functional": "PBE-GGA", "state": "optimized geometry", "lattice_angstrom": [[-0.1836, 0.4905, 4.5330], [2.5820, -3.7280, 0.5080], [7.1272, 4.9090, -0.2383]], "species": ["Y", "Y", "Bi", "Bi", "Tb", "Tb"], "frac_coords": [[0.2495, 0.7505, 0.3476], [0.7505, 0.2495, 0.6524], [0.2504, 0.7496, 0.7162], [0.7496, 0.2504, 0.2838], [0.2500, 0.2500, 0.0000], [0.7500, 0.7500, 0.0000]]}


Record 3
{"formula": "TbY2Bi", "functional": "PBE-GGA", "state": "optimized geometry", "relative_energy_ev_per_atom": 0.438, "lattice_angstrom": [[-1.6678, 2.8365, -1.3668], [-2.7776, 1.4303, 1.7131], [5.9751, 8.7033, 6.1268]], "species": ["Tb", "Bi", "Y", "Y"], "frac_coords": [[0.5000, 0.5000, 0.5000], [0.0000, 0.0000, 0.0000], [0.0873, 0.0873, 0.7381], [0.9127, 0.9127, 0.2619]]}


Record 4
{"formula": "Tb5YBi6", "functional": "PBE-GGA", "state": "optimized geometry", "lattice_angstrom": [[7.7771, 0.2127, 0.0000], [2.3936, 7.4050, 0.0000], [1.1968, 3.7025, 6.7391]], "species": ["Bi", "Bi", "Bi", "Bi", "Bi", "Bi", "Tb", "Tb", "Tb", "Tb", "Tb", "Y"], "frac_coords": [[0.7501, 0.4165, 0.6668], [0.7501, 0.7501, 0.0000], [0.2499, 0.2499, 0.0000], [0.2499, 0.9167, 0.6668], [0.7501, 0.0833, 0.3332], [0.2499, 0.5835, 0.3332], [0.5000, 0.5000, 0.0000], [0.5000, 0.1667, 0.6666], [0.0000, 0.6667, 0.6666], [0.5000, 0.8333, 0.3334], [0.0000, 0.3333, 0.3334], [0.0000, 0.0000, 0.0000]]}


Record 5
{"formula": "Tb5Y5Bi6", "functional": "PBE-GGA", "state": "optimized geometry", "lattice_angstrom": [[6.4006, 0.0000, 0.0000], [0.0000, 8.0059, -4.5719], [0.0000, -0.0521, 9.2192]], "species": ["Y", "Y", "Y", "Y", "Y", "Tb", "Tb", "Tb", "Tb", "Tb", "Bi", "Bi", "Bi", "Bi", "Bi", "Bi"], "frac_coords": [[0.0000, 0.7556, 0.0001], [0.5000, 0.2446, 0.0000], [0.5000, 0.7558, 0.7558], [0.5000, 0.0000, 0.2446], [0.0000, 0.0001, 0.7556], [0.2499, 0.3334, 0.6664], [0.2499, 0.6664, 0.3334], [0.7501, 0.6664, 0.3334], [0.7501, 0.3334, 0.6664], [0.0000, 0.2443, 0.2443], [0.0000, 0.9996, 0.3884], [0.0000, 0.3884, 0.9996], [0.5000, 0.6117, 0.0000], [0.5000, 0.0000, 0.6117], [0.5000, 0.3882, 0.3882], [0.0000, 0.6119, 0.6119]]}


Record 6
{"formula": "Tb3YBi4", "functional": "PBE-GGA", "state": "optimized geometry", "relative_energy_ev_per_atom": 0.000, "lattice_angstrom": [[-4.4188, -3.1273, -3.3134], [0.7652, -5.0596, 3.7549], [-4.4914, 2.2147, 3.8995]], "species": ["Bi", "Bi", "Bi", "Bi", "Y", "Tb", "Tb", "Tb"], "frac_coords": [[0.5000, 0.0000, 0.0000], [0.5000, 0.5000, 0.5000], [0.0000, 0.0000, 0.5000], [0.0000, 0.5000, 0.0000], [0.0000, 0.0000, 0.0000], [0.5000, 0.5000, 0.0000], [0.0000, 0.5000, 0.5000], [0.5000, 0.0000, 0.5000]]}


| no. | energy of formation (eV/f.u.) |
| --- | --- |
| 1 | 0.075 |
| 2 | -1.864 |
| 3 | 0.077 |
| 4 | -10.594 |
| 5 | -11.587 |
| 6 | -7.120 |